{"formula": "PdWS2N", "functional": "PBE", "state": "relaxed", "crystal_system": "tetragonal", "de_polymorph_kj_per_mol_atoms": 0.00, "m_tot_mub_per_fu": 0.000, "e_form_raw_ev_per_fu": 1.77, "lattice": [[4.786, 0.000, 0.000], [0.000, 4.786, 0.000], [0.000, 0.000, 3.795]], "species": ["Pd", "W", "S", "S", "N"], "frac_coords": [[0.000, 0.000, 0.000], [0.500, 0.500, 0.500], [0.000, 0.500, 0.500], [0.500, 0.000, 0.500], [0.500, 0.500, 0.000]]}

{"formula": "PdWS2N", "functional": "PBE", "state": "relaxed", "crystal_system": "tetragonal", "de_polymorph_kj_per_mol_atoms": 112.14, "m_tot_mub_per_fu": 0.000, "e_form_raw_ev_per_fu": 7.58, "lattice": [[4.747, 0.000, 0.000], [0.000, 4.747, 0.000], [0.000, 0.000, 3.634]], "species": ["Pd", "W", "S", "S", "N"], "frac_coords": [[0.000, 0.000, 0.000], [0.500, 0.500, 0.500], [0.000, 0.500, 0.000], [0.500, 0.000, 0.000], [0.000, 0.000, 0.500]]}

{"formula": "YPdS2N", "functional": "PBE", "state": "relaxed", "crystal_system": "tetragonal", "de_polymorph_kj_per_mol_atoms": 0.00, "m_tot_mub_per_fu": 0.000, "e_form_raw_ev_per_fu": -1.12, "lattice": [[4.857, 0.000, 0.000], [0.000, 4.857, 0.000], [0.000, 0.000, 3.810]], "species": ["Y", "Pd", "S", "S", "N"], "frac_coords": [[0.000, 0.000, 0.000], [0.500, 0.500, 0.500], [0.000, 0.500, 0.500], [0.500, 0.000, 0.500], [0.500, 0.500, 0.000]]}